# 1
# NdMnAs2O8 | Alexandria via LeMat-Bulk | PBE with a Hubbard U | relaxed
data_NdMnAs2O8
_chemical_formula_sum 'Nd1 Mn1 As2 O8'
_cell_length_a 6.020
_cell_length_b 6.020
_cell_length_c 6.020
_cell_angle_alpha 106.46
_cell_angle_beta 106.46
_cell_angle_gamma 115.68
_space_group_name_H-M_alt 'P 1'
_space_group_IT_number 1
loop_
_space_group_symop_operation_xyz
'x,y,z'
loop_
_atom_site_label
_atom_site_type_symbol
_atom_site_fract_x
_atom_site_fract_y
_atom_site_fract_z
Nd1 Nd 0.000 0.000 0.000
Mn1 Mn 0.250 0.750 0.500
As1 As 0.750 0.250 0.500
As2 As 0.500 0.500 0.000
O1 O 0.394 0.071 0.323
O2 O 0.328 0.512 0.185
O3 O 0.328 0.143 0.815
O4 O 0.748 0.071 0.677
O5 O 0.857 0.672 0.185
O6 O 0.929 0.252 0.323
O7 O 0.929 0.606 0.677
O8 O 0.488 0.672 0.815
# Density of states at the Fermi level, states/eV per cell: 9.81
# DFT total energy, eV/cell: -81.58
# Magnetization, μB/f.u.: 3.94
# Symmetry: I-4m2

# 2
# NdMnAsO | Alexandria via LeMat-Bulk | PBE with a Hubbard U | relaxed
data_NdMnAsO
_chemical_formula_sum 'Nd2 Mn2 As2 O2'
_cell_length_a 4.156
_cell_length_b 4.156
_cell_length_c 9.160
_cell_angle_alpha 90.00
_cell_angle_beta 90.00
_cell_angle_gamma 90.00
_space_group_name_H-M_alt 'P 1'
_space_group_IT_number 1
loop_
_space_group_symop_operation_xyz
'x,y,z'
loop_
_atom_site_label
_atom_site_type_symbol
_atom_site_fract_x
_atom_site_fract_y
_atom_site_fract_z
O1 O 0.250 0.750 0.000
O2 O 0.750 0.250 0.000
Mn1 Mn 0.250 0.750 0.500
Mn2 Mn 0.750 0.250 0.500
As1 As 0.750 0.750 0.319
As2 As 0.250 0.250 0.681
Nd1 Nd 0.750 0.750 0.876
Nd2 Nd 0.250 0.250 0.124
# Density of states at the Fermi level, states/eV per cell: 0.94
# DFT total energy, eV/cell: -57.27
# Magnetization, μB/f.u.: 4.83
# Symmetry: P4/nmm